This record from OQMD describes a relaxed structure of Ho3Hf3FeTe2. The functional is PBE.

```
Ho3Hf3FeTe2
1.0
8.0638 0.0000 0.0000
-4.0319 6.9835 0.0000
0.0000 0.0000 3.6413
Fe Hf Ho Te
1 3 3 2
direct
0.0000 0.0000 0.0000 Fe
0.3996 0.0000 0.0000 Hf
0.0000 0.3996 0.0000 Hf
0.6004 0.6004 0.0000 Hf
0.7567 0.0000 0.5000 Ho
0.2433 0.2433 0.5000 Ho
0.0000 0.7567 0.5000 Ho
0.6667 0.3333 0.5000 Te
0.3333 0.6667 0.5000 Te
```

DFT total energy: -0.249 hartree per atom
polymorph energy (0 for the lowest one): 283 meV per atom
SG: P-62m (189)